# 1
# BaAgIr2 (PBE-GGA, relaxed)
data_BaAgIr2
_cell_length_a 3.111
_cell_length_b 5.078
_cell_length_c 5.138
_cell_angle_alpha 90.00
_cell_angle_beta 90.00
_cell_angle_gamma 90.00
_space_group_name_H-M_alt 'P 1'
_space_group_IT_number 1
_space_group_name_Hall 'P 1'
loop_
_atom_site_label
_atom_site_fract_x
_atom_site_fract_y
_atom_site_fract_z
Ba1 0.000 0.000 0.000
Ag1 0.500 0.500 0.000
Ir1 0.000 0.500 0.500
Ir2 0.500 0.000 0.500
# Crystal system: orthorhombic
# Symmetry: Pmmm (47)
# ΔH_f (0 K): 0.690 eV/atom

=====

# 2
# CaPa2CdO8 (PBE-GGA, relaxed)
data_CaPa2CdO8
_cell_length_a 6.606
_cell_length_b 6.606
_cell_length_c 6.606
_cell_angle_alpha 130.97
_cell_angle_beta 130.97
_cell_angle_gamma 71.87
_space_group_name_H-M_alt 'P 1'
_space_group_IT_number 1
_space_group_name_Hall 'P 1'
loop_
_atom_site_label
_atom_site_fract_x
_atom_site_fract_y
_atom_site_fract_z
Ca1 0.000 0.000 0.000
Pa1 0.250 0.750 0.500
Pa2 0.500 0.500 0.000
Cd1 0.750 0.250 0.500
O1 0.144 0.125 0.520
O2 0.144 0.625 0.019
O3 0.375 0.394 0.520
O4 0.375 0.856 0.981
O5 0.606 0.125 0.981
O6 0.606 0.625 0.480
O7 0.875 0.394 0.019
O8 0.875 0.856 0.480
# Crystal system: tetragonal
# Formation energy (no corrections): -2680 meV/atom
# Symmetry: I-4m2 (119)

=====

# 3
# AcHo5Sb6 (PBE-GGA, relaxed)
data_AcHo5Sb6
_cell_length_a 7.702
_cell_length_b 7.702
_cell_length_c 7.699
_cell_angle_alpha 99.64
_cell_angle_beta 99.64
_cell_angle_gamma 120.02
_space_group_name_H-M_alt 'P 1'
_space_group_IT_number 1
_space_group_name_Hall 'P 1'
loop_
_atom_site_label
_atom_site_fract_x
_atom_site_fract_y
_atom_site_fract_z
Ac1 0.000 0.000 0.000
Ho1 0.161 0.839 0.500
Ho2 0.332 0.668 0.000
Ho3 0.500 0.500 0.500
Ho4 0.668 0.332 0.000
Ho5 0.839 0.161 0.500
Sb1 0.087 0.434 0.260
Sb2 0.263 0.263 0.745
Sb3 0.434 0.087 0.260
Sb4 0.566 0.913 0.740
Sb5 0.737 0.737 0.255
Sb6 0.913 0.566 0.740
# Crystal system: monoclinic
# Formation energy (no corrections): -1104 meV/atom
# Symmetry: C2/m (12)

=====

Number 1: DFT total energy -4.93 eV/atom. Number 2: DFT total energy -7.81 eV/atom. Number 3: DFT total energy -5.41 eV/atom.